1.
A relaxed BaAc2Sm crystal, computed with PBE-GGA.

Values from the calculation:
Excess energy over the best structure of this formula in the dataset: 14 meV per atom
Crystal system: trigonal
Calculated total energy: -43.63 eV/cell
ΔE_f: 0.3 eV per formula unit

Cell and atoms, written as CIF:
```
data_BaAc2Sm
_chemical_formula_sum 'Ba3 Ac6 Sm3'
_cell_length_a 3.9777
_cell_length_b 3.9777
_cell_length_c 39.2253
_cell_angle_alpha 90.00
_cell_angle_beta 90.00
_cell_angle_gamma 120.00
_space_group_name_H-M_alt 'R 3 m'
_space_group_IT_number 160
_space_group_name_Hall 'R 3 -2"'
loop_
_atom_site_label
_atom_site_type_symbol
_atom_site_fract_x
_atom_site_fract_y
_atom_site_fract_z
_atom_site_occupancy
Ba1 Ba 0.0000 0.0000 0.0000 1
Ac1 Ac 0.0000 0.0000 0.4233 1
Ac2 Ac 0.0000 0.0000 0.5752 1
Sm1 Sm 0.0000 0.0000 0.8327 1
```

2.
A relaxed BaAc6Sm2 crystal, computed with PBE-GGA.

Values from the calculation:
Crystal system: trigonal
Calculated total energy: -31.85 eV/cell
ΔE_f: 4.2 eV per formula unit

Cell and atoms, written as CIF:
```
data_BaAc6Sm2
_chemical_formula_sum 'Ba1 Ac6 Sm2'
_cell_length_a 6.6543
_cell_length_b 6.6543
_cell_length_c 12.6726
_cell_angle_alpha 90.00
_cell_angle_beta 90.00
_cell_angle_gamma 120.00
_space_group_name_H-M_alt 'P -3 1 m'
_space_group_IT_number 162
_space_group_name_Hall '-P 3 2'
loop_
_atom_site_label
_atom_site_type_symbol
_atom_site_fract_x
_atom_site_fract_y
_atom_site_fract_z
_atom_site_occupancy
Ba1 Ba 0.0000 0.0000 0.0000 1
Ac1 Ac 0.0000 0.3307 0.2752 1
Sm1 Sm 0.3333 0.6667 0.5000 1
```

3.
A relaxed BaAc2Sm crystal, computed with PBE-GGA.

Values from the calculation:
Excess energy over the best structure of this formula in the dataset: 80 meV per atom
Crystal system: tetragonal
Calculated total energy: -14.28 eV/cell
ΔE_f: 0.6 eV per formula unit

Cell and atoms, written as CIF:
```
data_BaAc2Sm
_chemical_formula_sum 'Ba1 Ac2 Sm1'
_cell_length_a 5.607
_cell_length_b 5.607
_cell_length_c 5.620
_cell_angle_alpha 90.00
_cell_angle_beta 90.00
_cell_angle_gamma 90.00
_space_group_name_H-M_alt 'P 4/m m m'
_space_group_IT_number 123
_space_group_name_Hall '-P 4 2'
loop_
_atom_site_label
_atom_site_type_symbol
_atom_site_fract_x
_atom_site_fract_y
_atom_site_fract_z
_atom_site_occupancy
Ba1 Ba 0.000 0.000 0.000 1
Ac1 Ac 0.000 0.500 0.500 1
Sm1 Sm 0.500 0.500 0.000 1
```

4.
A relaxed BaAc4Sm crystal, computed with PBE-GGA.

Values from the calculation:
Excess energy over the best structure of this formula in the dataset: 0 meV per atom
Crystal system: tetragonal
Calculated total energy: -22.76 eV/cell
ΔE_f: 0.3 eV per formula unit

Cell and atoms, written as CIF:
```
data_BaAc4Sm
_chemical_formula_sum 'Ba1 Ac4 Sm1'
_cell_length_a 3.997
_cell_length_b 3.997
_cell_length_c 16.925
_cell_angle_alpha 90.00
_cell_angle_beta 90.00
_cell_angle_gamma 90.00
_space_group_name_H-M_alt 'P 4/m m m'
_space_group_IT_number 123
_space_group_name_Hall '-P 4 2'
loop_
_atom_site_label
_atom_site_type_symbol
_atom_site_fract_x
_atom_site_fract_y
_atom_site_fract_z
_atom_site_occupancy
Ba1 Ba 0.000 0.000 0.000 1
Ac1 Ac 0.000 0.000 0.351 1
Ac2 Ac 0.500 0.500 0.190 1
Sm1 Sm 0.500 0.500 0.500 1
```

5.
A relaxed BaAc2Sm crystal, computed with PBE-GGA.

Values from the calculation:
Excess energy over the best structure of this formula in the dataset: 145 meV per atom
Crystal system: cubic
Calculated total energy: -56.08 eV/cell
ΔE_f: 0.8 eV per formula unit

Cell and atoms, written as CIF:
```
data_BaAc2Sm
_chemical_formula_sum 'Ba4 Ac8 Sm4'
_cell_length_a 8.946
_cell_length_b 8.946
_cell_length_c 8.946
_cell_angle_alpha 90.00
_cell_angle_beta 90.00
_cell_angle_gamma 90.00
_space_group_name_H-M_alt 'F m -3 m'
_space_group_IT_number 225
_space_group_name_Hall '-F 4 2 3'
loop_
_atom_site_label
_atom_site_type_symbol
_atom_site_fract_x
_atom_site_fract_y
_atom_site_fract_z
_atom_site_occupancy
Ba1 Ba 0.000 0.000 0.000 1
Ac1 Ac 0.250 0.250 0.250 1
Sm1 Sm 0.000 0.000 0.500 1
```

6.
A relaxed BaAcSm2 crystal, computed with PBE-GGA.

Values from the calculation:
Excess energy over the best structure of this formula in the dataset: 49 meV per atom
Crystal system: tetragonal
Calculated total energy: -14.73 eV/cell
ΔE_f: 0.7 eV per formula unit

Cell and atoms, written as CIF:
```
data_BaAcSm2
_chemical_formula_sum 'Ba1 Ac1 Sm2'
_cell_length_a 5.531
_cell_length_b 5.531
_cell_length_c 5.352
_cell_angle_alpha 90.00
_cell_angle_beta 90.00
_cell_angle_gamma 90.00
_space_group_name_H-M_alt 'P 4/m m m'
_space_group_IT_number 123
_space_group_name_Hall '-P 4 2'
loop_
_atom_site_label
_atom_site_type_symbol
_atom_site_fract_x
_atom_site_fract_y
_atom_site_fract_z
_atom_site_occupancy
Ba1 Ba 0.000 0.000 0.000 1
Ac1 Ac 0.500 0.500 0.000 1
Sm1 Sm 0.000 0.500 0.500 1
```

7.
A relaxed BaAcSm2 crystal, computed with PBE-GGA.

Values from the calculation:
Excess energy over the best structure of this formula in the dataset: 87 meV per atom
Crystal system: trigonal
Calculated total energy: -43.72 eV/cell
ΔE_f: 0.9 eV per formula unit

Cell and atoms, written as CIF:
```
data_BaAcSm2
_chemical_formula_sum 'Ba3 Ac3 Sm6'
_cell_length_a 3.7807
_cell_length_b 3.7807
_cell_length_c 40.0338
_cell_angle_alpha 90.00
_cell_angle_beta 90.00
_cell_angle_gamma 120.00
_space_group_name_H-M_alt 'R -3 m'
_space_group_IT_number 166
_space_group_name_Hall '-R 3 2"'
loop_
_atom_site_label
_atom_site_type_symbol
_atom_site_fract_x
_atom_site_fract_y
_atom_site_fract_z
_atom_site_occupancy
Ba1 Ba 0.0000 0.0000 0.0000 1
Ac1 Ac 0.0000 0.0000 0.5000 1
Sm1 Sm 0.0000 0.0000 0.0916 1
```

8.
A relaxed BaAcSm crystal, computed with PBE-GGA.

Values from the calculation:
Excess energy over the best structure of this formula in the dataset: 0 meV per atom
Crystal system: tetragonal
Calculated total energy: -21.06 eV/cell
ΔE_f: 0.2 eV per formula unit

Cell and atoms, written as CIF:
```
data_BaAcSm
_chemical_formula_sum 'Ba2 Ac2 Sm2'
_cell_length_a 3.986
_cell_length_b 3.986
_cell_length_c 17.131
_cell_angle_alpha 90.00
_cell_angle_beta 90.00
_cell_angle_gamma 90.00
_space_group_name_H-M_alt 'P 4/n m m'
_space_group_IT_number 129
loop_
_space_group_symop_operation_xyz
'x,y,z'
'-x,-y,-z'
'-y+1/2,x,z'
'y+1/2,-x,-z'
'-x+1/2,-y+1/2,z'
'x+1/2,y+1/2,-z'
'y,-x+1/2,z'
'-y,x+1/2,-z'
'x+1/2,-y,-z'
'-x+1/2,y,z'
'-y,-x,-z'
'y,x,z'
'-x,y+1/2,-z'
'x,-y+1/2,z'
'y+1/2,x+1/2,-z'
'-y+1/2,-x+1/2,z'
loop_
_atom_site_label
_atom_site_type_symbol
_atom_site_fract_x
_atom_site_fract_y
_atom_site_fract_z
_atom_site_occupancy
Ba1 Ba 0.250 0.250 0.104 1
Ac1 Ac 0.250 0.250 0.712 1
Sm1 Sm 0.250 0.250 0.433 1
```

9.
A relaxed BaSrAcSm crystal, computed with PBE-GGA.

Values from the calculation:
Crystal system: cubic
Calculated total energy: -46.70 eV/cell
ΔE_f: 0.8 eV per formula unit

Cell and atoms, written as CIF:
```
data_BaSrAcSm
_chemical_formula_sum 'Ba4 Sr4 Ac4 Sm4'
_cell_length_a 9.038
_cell_length_b 9.038
_cell_length_c 9.038
_cell_angle_alpha 90.00
_cell_angle_beta 90.00
_cell_angle_gamma 90.00
_space_group_name_H-M_alt 'F -4 3 m'
_space_group_IT_number 216
_space_group_name_Hall 'F -4 2 3'
loop_
_atom_site_label
_atom_site_type_symbol
_atom_site_fract_x
_atom_site_fract_y
_atom_site_fract_z
_atom_site_occupancy
Ba1 Ba 0.000 0.000 0.000 1
Sr1 Sr 0.250 0.250 0.750 1
Ac1 Ac 0.250 0.250 0.250 1
Sm1 Sm 0.000 0.000 0.500 1
```

10.
A relaxed BaAc3Sm2Te6 crystal, computed with PBE-GGA.

Values from the calculation:
Crystal system: monoclinic
Calculated total energy: -120.46 eV/cell
Raw formation energy: -1.474 eV per atom

Cell and atoms, written as CIF:
```
data_BaAc3Sm2Te6
_chemical_formula_sum 'Ba2 Ac6 Sm4 Te12'
_cell_length_a 20.347
_cell_length_b 4.644
_cell_length_c 9.417
_cell_angle_alpha 90.00
_cell_angle_beta 103.46
_cell_angle_gamma 90.00
_space_group_name_H-M_alt 'C 1 2/m 1'
_space_group_IT_number 12
_space_group_name_Hall '-C 2y'
loop_
_atom_site_label
_atom_site_type_symbol
_atom_site_fract_x
_atom_site_fract_y
_atom_site_fract_z
_atom_site_occupancy
Ba1 Ba 0.000 0.000 0.000 1
Ac1 Ac 0.000 0.000 0.500 1
Ac2 Ac 0.162 0.500 0.826 1
Sm1 Sm 0.170 0.500 0.341 1
Te1 Te 0.009 0.500 0.259 1
Te2 Te 0.170 0.000 0.573 1
Te3 Te 0.172 0.000 0.098 1
```

11.
A relaxed Ba3Ac2SmTe6 crystal, computed with PBE-GGA.

Values from the calculation:
Crystal system: monoclinic
Calculated total energy: -113.65 eV/cell
Raw formation energy: -1.606 eV per atom

Cell and atoms, written as CIF:
```
data_Ba3Ac2SmTe6
_chemical_formula_sum 'Ba6 Ac4 Sm2 Te12'
_cell_length_a 8.260
_cell_length_b 14.287
_cell_length_c 8.424
_cell_angle_alpha 90.00
_cell_angle_beta 109.11
_cell_angle_gamma 90.00
_space_group_name_H-M_alt 'C 1 2/m 1'
_space_group_IT_number 12
_space_group_name_Hall '-C 2y'
loop_
_atom_site_label
_atom_site_type_symbol
_atom_site_fract_x
_atom_site_fract_y
_atom_site_fract_z
_atom_site_occupancy
Ba1 Ba 0.000 0.000 0.000 1
Ba2 Ba 0.000 0.330 0.000 1
Ac1 Ac 0.000 0.166 0.500 1
Sm1 Sm 0.000 0.500 0.500 1
Te1 Te 0.238 0.339 0.730 1
Te2 Te 0.244 0.500 0.266 1
```

12.
A relaxed Ba3AcSm3Te8 crystal, computed with PBE-GGA.

Values from the calculation:
Crystal system: monoclinic
Calculated total energy: -145.56 eV/cell
Raw formation energy: -1.574 eV per atom

Cell and atoms, written as CIF:
```
data_Ba3AcSm3Te8
_chemical_formula_sum 'Ba6 Ac2 Sm6 Te16'
_cell_length_a 15.965
_cell_length_b 9.222
_cell_length_c 9.594
_cell_angle_alpha 90.00
_cell_angle_beta 123.66
_cell_angle_gamma 90.00
_space_group_name_H-M_alt 'C 1 2/m 1'
_space_group_IT_number 12
_space_group_name_Hall '-C 2y'
loop_
_atom_site_label
_atom_site_type_symbol
_atom_site_fract_x
_atom_site_fract_y
_atom_site_fract_z
_atom_site_occupancy
Ba1 Ba 0.000 0.000 0.000 1
Ba2 Ba 0.250 0.250 0.000 1
Ac1 Ac 0.000 0.000 0.500 1
Sm1 Sm 0.000 0.500 0.500 1
Sm2 Sm 0.250 0.250 0.500 1
Te1 Te 0.011 0.263 0.271 1
Te2 Te 0.240 0.500 0.721 1
Te3 Te 0.249 0.500 0.271 1
```